Record 1
7
Lattice="-2.026 0.725 1.974 0.868 -2.209 1.701 3.329 2.863 4.525" Properties=species:S:1:pos:R:3 comment="GGA-PBE Mn2CoH4, optimized geometry" spacegroup="I4/mmm, No. 139" dos_at_fermi_per_ev_cell=4.46 e_above_lowest_polymorph_ev_per_atom=0.3367 pbc="T T T"
H 0.697 0.435 2.715
H 1.475 0.944 5.485
H 0.434 -1.104 0.851
H -1.013 0.362 0.987
Mn 1.788 1.441 3.465
Mn 0.384 -0.062 4.735
Co 0.000 0.000 0.000

---

Record 2
8
Lattice="-2.424 0.826 2.698 -2.819 -0.862 -2.269 2.747 -3.622 1.012" Properties=species:S:1:pos:R:3 comment="GGA-PBE Mn3CoH4, optimized geometry" spacegroup="I4/mmm, No. 139" dos_at_fermi_per_ev_cell=4.36 pbc="T T T"
Mn -2.622 -0.018 0.215
Mn -1.149 -1.407 1.963
Mn -1.347 -2.251 -0.521
Co 0.000 0.000 0.000
H -1.086 -3.227 2.576
H -1.284 -4.071 0.092
H 0.059 -1.696 0.572
H -2.555 -1.962 0.870

---

Record 3
9
Lattice="3.553 0.000 0.000 -1.776 4.090 -0.381 0.000 -0.253 5.789" Properties=species:S:1:pos:R:3 comment="GGA-PBE Mn2Co5H2, optimized geometry" spacegroup="C2/m, No. 12" dos_at_fermi_per_ev_cell=9.96 pbc="T T T"
Mn 1.776 0.338 4.135
Mn 0.000 3.498 1.273
Co 1.776 1.744 0.700
Co 0.000 2.092 4.709
Co 1.776 2.730 2.997
Co 0.000 1.106 2.411
Co 0.000 0.000 0.000
H 1.776 2.163 4.785
H 0.000 1.673 0.624

---

Record 4
12
Lattice="-2.077 -0.285 -1.548 1.808 -1.535 -4.337 -1.422 -7.750 1.144" Properties=species:S:1:pos:R:3 comment="GGA-PBE MnCo3H2, optimized geometry" spacegroup="C2/m, No. 12" dos_at_fermi_per_ev_cell=8.72 pbc="T T T"
Mn -1.953 -6.613 -2.740
Mn 0.262 -2.957 -2.000
Co 0.439 -7.574 -3.579
Co -2.130 -1.996 -1.161
Co -1.716 -8.075 -0.596
Co 0.025 -1.495 -4.145
Co -1.636 -4.566 -1.350
Co -0.055 -5.004 -3.390
H -0.661 -7.797 -2.063
H -1.030 -1.773 -2.678
H -0.863 -6.393 -4.244
H -0.828 -3.177 -0.497

---

Record 5
5
Lattice="3.555 0.000 0.000 0.000 3.555 0.000 0.000 0.000 3.555" Properties=species:S:1:pos:R:3 comment="GGA-PBE Mn3CoH, optimized geometry" spacegroup="Pm-3m, No. 221" dos_at_fermi_per_ev_cell=4.84 e_above_lowest_polymorph_ev_per_atom=0.0114 pbc="T T T"
H 0.000 0.000 0.000
Mn 0.000 1.778 0.000
Mn 0.000 0.000 1.778
Mn 1.778 0.000 0.000
Co 1.778 1.778 1.778

---

Record 6
5
Lattice="3.230 0.000 0.000 0.000 3.230 0.000 0.000 0.000 3.230" Properties=species:S:1:pos:R:3 comment="GGA-PBE MnCoH3, optimized geometry" spacegroup="Pm-3m, No. 221" dos_at_fermi_per_ev_cell=2.89 pbc="T T T"
H 0.000 1.615 0.000
H 0.000 0.000 1.615
H 1.615 0.000 0.000
Mn 0.000 0.000 0.000
Co 1.615 1.615 1.615

---

Going through the records in order, we get magnetic moment values of 2.24; 2.67; 12.58; 6.75; 1.54; 4.30 μB per formula unit.
Going through the records in order, we get total energy values of -5.123; -6.041; -6.665; -6.184; -7.529; -4.953 eV/atom.